Computed, not measured: crystalline VAgIO6 at its relaxed geometry at the GGA+U level of DFT.

Computed properties:
Energy ... -97.412 eV/cell
Magnetization ... 2.00 μB/cell

Cell: 5.2050 5.2050 10.4272 Å, 90.00 90.00 120.00°
Space group P-31c (No. 163)
Symmetry-distinct sites (fractional):
V 0.3333 0.6667 0.2500 [2 per cell]
Ag 0.0000 0.0000 0.0000 [2 per cell]
I 0.3333 0.6667 0.7500 [2 per cell]
O 0.0064 0.3884 0.6459 [12 per cell]